[1]
CaSmSnPd | PBE-GGA | relaxed

abc: 7.4038 7.4038 7.4038
angles: 90.00 90.00 90.00
Space group F-43m (No. 216)
Asymmetric unit:
Ca (0.0000, 0.0000, 0.0000)
Sm (0.0000, 0.0000, 0.5000)
Sn (0.2500, 0.2500, 0.7500)
Pd (0.2500, 0.2500, 0.2500)

energy relative to the elements = -2.77 eV/f.u.
M_tot = 0.00 μB/atom
final energy = -74.74 eV per cell

[2]
CaSmTlPd | PBE-GGA | relaxed

abc: 7.4283 7.4283 7.4283
angles: 90.00 90.00 90.00
Space group F-43m (No. 216)
Asymmetric unit:
Ca (0.0000, 0.0000, 0.0000)
Sm (0.0000, 0.0000, 0.5000)
Tl (0.2500, 0.2500, 0.2500)
Pd (0.2500, 0.2500, 0.7500)

energy relative to the elements = -2.05 eV/f.u.
M_tot = 0.00 μB/atom
final energy = -65.30 eV per cell

[3]
CaSm2Zn2Pd5 | PBE-GGA | relaxed

abc: 9.9954 9.9954 3.9165
angles: 90.00 90.00 90.00
Space group P4/mbm (No. 127)
Asymmetric unit:
Ca (0.0000, 0.0000, 0.0000)
Sm (0.1781, 0.3219, 0.0000)
Zn (0.1164, 0.6164, 0.0000)
Pd (0.0000, 0.5000, 0.5000)
Pd (0.0716, 0.7824, 0.5000)

energy relative to the elements = -6.69 eV/f.u.
M_tot = 0.00 μB/atom
final energy = -93.29 eV per cell

[4]
Ca2SmZn2Pd5 | PBE-GGA | relaxed

abc: 10.0370 10.0370 3.8701
angles: 90.00 90.00 90.00
Space group P4/mbm (No. 127)
Asymmetric unit:
Ca (0.1746, 0.3254, 0.0000)
Sm (0.0000, 0.0000, 0.0000)
Zn (0.1199, 0.6199, 0.0000)
Pd (0.0000, 0.5000, 0.5000)
Pd (0.0709, 0.7860, 0.5000)

energy relative to the elements = -6.80 eV/f.u.
M_tot = 0.00 μB/atom
final energy = -88.07 eV per cell

[5]
Ca3Sn4Pd2 | PBE-GGA | relaxed

abc: 11.4790 4.5469 9.1064
angles: 90.00 100.90 90.00
Space group C2/m (No. 12)
Asymmetric unit:
Ca (0.0000, 0.0000, 0.0000)
Ca (0.1263, 0.5000, 0.3933)
Sn (0.0838, 0.0000, 0.6576)
Sn (0.1951, 0.5000, 0.0785)
Pd (0.1918, 0.5000, 0.7729)

energy relative to the elements = -5.47 eV/f.u.
M_tot = 0.00 μB/atom
final energy = -75.73 eV per cell
E above lowest polymorph = 75 meV/atom

[6]
CaSn2Pd3 | PBE-GGA | relaxed

abc: 16.4084 4.6939 7.7258
angles: 90.00 116.15 90.00
Space group C2/m (No. 12)
Asymmetric unit:
Ca (0.1612, 0.0000, 0.2081)
Sn (0.0145, 0.5000, 0.8282)
Sn (0.1616, 0.0000, 0.7157)
Pd (0.0199, 0.0000, 0.3433)
Pd (0.1249, 0.5000, 0.5274)
Pd (0.1934, 0.5000, 0.9372)

energy relative to the elements = -3.52 eV/f.u.
M_tot = 0.00 μB/atom
final energy = -116.44 eV per cell

[7]
CaSn4Pd | PBE-GGA | relaxed

abc: 4.4577 7.7608 9.8050
angles: 97.35 102.93 90.38
Space group P-1 (No. 2)
Asymmetric unit:
Ca (0.2477, 0.2502, 0.4995)
Sn (0.0621, 0.8545, 0.1311)
Sn (0.1462, 0.5492, 0.2924)
Sn (0.3570, 0.9519, 0.7076)
Sn (0.4355, 0.6454, 0.8681)
Pd (0.0000, 0.5000, 0.0000)
Pd (0.5000, 0.0000, 0.0000)

energy relative to the elements = -1.98 eV/f.u.
M_tot = 0.00 μB/atom
final energy = -50.36 eV per cell

[8]
CaSn2Pd9 | PBE-GGA | relaxed

abc: 4.0776 4.0776 12.1525
angles: 90.00 90.00 90.00
Space group P4/mmm (No. 123)
Asymmetric unit:
Ca (0.0000, 0.0000, 0.0000)
Sn (0.0000, 0.0000, 0.3351)
Pd (0.0000, 0.5000, 0.1757)
Pd (0.0000, 0.5000, 0.5000)
Pd (0.5000, 0.5000, 0.0000)
Pd (0.5000, 0.5000, 0.3375)

energy relative to the elements = -6.05 eV/f.u.
M_tot = 0.00 μB/atom
final energy = -62.79 eV per cell

[9]
CaSn2Pd4 | PBE-GGA | relaxed

abc: 8.0702 8.0702 4.2728
angles: 90.00 90.00 90.00
Space group P4_2/mnm (No. 136)
Asymmetric unit:
Ca (0.0000, 0.0000, 0.0000)
Sn (0.2205, 0.2205, 0.5000)
Pd (0.0879, 0.6564, 0.5000)

energy relative to the elements = -4.18 eV/f.u.
M_tot = 0.00 μB/atom
final energy = -69.91 eV per cell
E above lowest polymorph = 22 meV/atom

[10]
CaSn3Pd | PBE-GGA | relaxed

abc: 6.4241 9.4509 8.6634
angles: 90.00 90.00 90.00
Space group Pnma (No. 62)
Asymmetric unit:
Ca (0.1831, 0.2500, 0.0556)
Sn (0.1951, 0.2500, 0.4259)
Sn (0.2146, 0.5837, 0.2315)
Pd (0.0000, 0.0000, 0.5000)

energy relative to the elements = -1.93 eV/f.u.
M_tot = 0.00 μB/atom
final energy = -84.52 eV per cell

[11]
CaSnPd6 | PBE-GGA | relaxed

abc: 5.8068 5.8068 4.6484
angles: 90.00 90.00 120.00
Space group P-6m2 (No. 187)
Asymmetric unit:
Ca (0.0000, 0.0000, 0.0000)
Sn (0.6667, 0.3333, 0.5000)
Pd (0.0002, 0.5001, 0.0000)
Pd (0.1717, 0.3435, 0.5000)

energy relative to the elements = -3.92 eV/f.u.
M_tot = 0.00 μB/atom
final energy = -41.08 eV per cell
E above lowest polymorph = 0 meV/atom

[12]
CaSnPd | PBE-GGA | relaxed

abc: 3.5888 3.5888 10.7515
angles: 90.00 90.00 90.00
Space group I4mm (No. 107)
Asymmetric unit:
Ca (0.0000, 0.0000, 0.0000)
Sn (0.0000, 0.0000, 0.7003)
Pd (0.0000, 0.0000, 0.3086)

energy relative to the elements = -1.88 eV/f.u.
M_tot = 0.00 μB/atom
final energy = -26.16 eV per cell